[1]
First-principles (PBE) data for crystalline LiIn3 at its relaxed geometry, as listed in the Alexandria database.

size of the total moment: 0.000 μB/atom
ΔH_f (0 K): -0.11 eV per atom

Cell and atoms, written as CIF:
```
data_LiIn3
_chemical_formula_sum 'Li2 In6'
_cell_length_a 10.491
_cell_length_b 3.438
_cell_length_c 5.370
_cell_angle_alpha 90.00
_cell_angle_beta 98.54
_cell_angle_gamma 90.00
_space_group_name_H-M_alt 'P 1'
_space_group_IT_number 1
_space_group_name_Hall 'P 1'
loop_
_atom_site_label
_atom_site_type_symbol
_atom_site_fract_x
_atom_site_fract_y
_atom_site_fract_z
Li1 Li 0.000 0.000 0.000
Li2 Li 0.500 0.500 0.000
In1 In 0.000 0.500 0.500
In2 In 0.244 0.500 0.240
In3 In 0.256 0.000 0.760
In4 In 0.500 0.000 0.500
In5 In 0.744 0.000 0.240
In6 In 0.756 0.500 0.760
```

***

[2]
First-principles (PBE) data for crystalline LiAg12Pd3 at its relaxed geometry, as listed in the Alexandria database.

size of the total moment: 0.000 μB/atom
ΔH_f (0 K): -0.06 eV per atom

Cell and atoms, written as CIF:
```
data_LiAg12Pd3
_chemical_formula_sum 'Li1 Ag12 Pd3'
_cell_length_a 4.113
_cell_length_b 4.113
_cell_length_c 16.200
_cell_angle_alpha 90.00
_cell_angle_beta 90.00
_cell_angle_gamma 90.00
_space_group_name_H-M_alt 'P 1'
_space_group_IT_number 1
_space_group_name_Hall 'P 1'
loop_
_atom_site_label
_atom_site_type_symbol
_atom_site_fract_x
_atom_site_fract_y
_atom_site_fract_z
Li1 Li 0.000 0.000 0.000
Ag1 Ag 0.000 0.500 0.124
Ag2 Ag 0.000 0.500 0.375
Ag3 Ag 0.000 0.500 0.625
Ag4 Ag 0.000 0.500 0.876
Ag5 Ag 0.500 0.000 0.124
Ag6 Ag 0.500 0.000 0.375
Ag7 Ag 0.500 0.000 0.625
Ag8 Ag 0.500 0.000 0.876
Ag9 Ag 0.500 0.500 0.000
Ag10 Ag 0.500 0.500 0.249
Ag11 Ag 0.500 0.500 0.500
Ag12 Ag 0.500 0.500 0.751
Pd1 Pd 0.000 0.000 0.249
Pd2 Pd 0.000 0.000 0.500
Pd3 Pd 0.000 0.000 0.751
```

***

[3]
First-principles (PBE) data for crystalline CeTm2Zr at its relaxed geometry, as listed in the Alexandria database.

size of the total moment: 0.144 μB/atom
ΔH_f (0 K): 0.20 eV per atom
excess energy over the best structure of this formula in the dataset: 115 meV per atom

Cell and atoms, written as CIF:
```
data_CeTm2Zr
_chemical_formula_sum 'Ce1 Tm2 Zr1'
_cell_length_a 4.010
_cell_length_b 4.010
_cell_length_c 6.987
_cell_angle_alpha 90.00
_cell_angle_beta 90.00
_cell_angle_gamma 90.00
_space_group_name_H-M_alt 'P 1'
_space_group_IT_number 1
_space_group_name_Hall 'P 1'
loop_
_atom_site_label
_atom_site_type_symbol
_atom_site_fract_x
_atom_site_fract_y
_atom_site_fract_z
Ce1 Ce 0.000 0.000 0.000
Tm1 Tm 0.500 0.500 0.265
Tm2 Tm 0.500 0.500 0.735
Zr1 Zr 0.000 0.000 0.500
```

***

[4]
First-principles (PBE) data for crystalline LaTb3Bi2 at its relaxed geometry, as listed in the Alexandria database.

size of the total moment: 0.063 μB/atom
ΔH_f (0 K): -0.54 eV per atom

Cell and atoms, written as CIF:
```
data_LaTb3Bi2
_chemical_formula_sum 'La2 Tb6 Bi4'
_cell_length_a 9.780
_cell_length_b 9.780
_cell_length_c 9.992
_cell_angle_alpha 113.32
_cell_angle_beta 113.32
_cell_angle_gamma 26.32
_space_group_name_H-M_alt 'P 1'
_space_group_IT_number 1
_space_group_name_Hall 'P 1'
loop_
_atom_site_label
_atom_site_type_symbol
_atom_site_fract_x
_atom_site_fract_y
_atom_site_fract_z
La1 La 0.112 0.112 0.124
La2 La 0.888 0.888 0.876
Tb1 Tb 0.059 0.059 0.672
Tb2 Tb 0.311 0.311 0.111
Tb3 Tb 0.361 0.361 0.523
Tb4 Tb 0.639 0.639 0.477
Tb5 Tb 0.689 0.689 0.889
Tb6 Tb 0.941 0.941 0.328
Bi1 Bi 0.246 0.246 0.710
Bi2 Bi 0.487 0.487 0.158
Bi3 Bi 0.513 0.513 0.842
Bi4 Bi 0.754 0.754 0.290
```

***

[5]
First-principles (PBE) data for crystalline CoCuSn6 at its relaxed geometry, as listed in the Alexandria database.

size of the total moment: 0.000 μB/atom
ΔH_f (0 K): 0.06 eV per atom

Cell and atoms, written as CIF:
```
data_CoCuSn6
_chemical_formula_sum 'Co1 Cu1 Sn6'
_cell_length_a 6.154
_cell_length_b 6.155
_cell_length_c 6.795
_cell_angle_alpha 63.32
_cell_angle_beta 63.28
_cell_angle_gamma 60.03
_space_group_name_H-M_alt 'P 1'
_space_group_IT_number 1
_space_group_name_Hall 'P 1'
loop_
_atom_site_label
_atom_site_type_symbol
_atom_site_fract_x
_atom_site_fract_y
_atom_site_fract_z
Co1 Co 0.000 0.000 0.000
Cu1 Cu 0.500 0.500 0.500
Sn1 Sn 0.044 0.770 0.749
Sn2 Sn 0.235 0.564 0.246
Sn3 Sn 0.433 0.049 0.751
Sn4 Sn 0.567 0.951 0.249
Sn5 Sn 0.765 0.436 0.754
Sn6 Sn 0.956 0.230 0.251
```

***

[6]
First-principles (PBE) data for crystalline NaPmNd2 at its relaxed geometry, as listed in the Alexandria database.

size of the total moment: 0.000 μB/atom
ΔH_f (0 K): 0.20 eV per atom
excess energy over the best structure of this formula in the dataset: 99 meV per atom

Cell and atoms, written as CIF:
```
data_NaPmNd2
_chemical_formula_sum 'Na1 Pm1 Nd2'
_cell_length_a 6.048
_cell_length_b 6.048
_cell_length_c 3.750
_cell_angle_alpha 90.00
_cell_angle_beta 90.00
_cell_angle_gamma 90.00
_space_group_name_H-M_alt 'P 1'
_space_group_IT_number 1
_space_group_name_Hall 'P 1'
loop_
_atom_site_label
_atom_site_type_symbol
_atom_site_fract_x
_atom_site_fract_y
_atom_site_fract_z
Na1 Na 0.000 0.000 0.000
Pm1 Pm 0.500 0.500 0.000
Nd1 Nd 0.000 0.500 0.500
Nd2 Nd 0.500 0.000 0.500
```

***

[7]
First-principles (PBE) data for crystalline Ca2TlCr at its relaxed geometry, as listed in the Alexandria database.

size of the total moment: 1.085 μB/atom
ΔH_f (0 K): 0.18 eV per atom
excess energy over the best structure of this formula in the dataset: 92 meV per atom

Cell and atoms, written as CIF:
```
data_Ca2TlCr
_chemical_formula_sum 'Ca2 Tl1 Cr1'
_cell_length_a 3.781
_cell_length_b 3.781
_cell_length_c 8.239
_cell_angle_alpha 90.00
_cell_angle_beta 90.00
_cell_angle_gamma 90.00
_space_group_name_H-M_alt 'P 1'
_space_group_IT_number 1
_space_group_name_Hall 'P 1'
loop_
_atom_site_label
_atom_site_type_symbol
_atom_site_fract_x
_atom_site_fract_y
_atom_site_fract_z
Ca1 Ca 0.000 0.000 0.000
Ca2 Ca 0.500 0.500 0.356
Tl1 Tl 0.500 0.500 0.759
Cr1 Cr 0.000 0.000 0.599
```

***

[8]
First-principles (PBE) data for crystalline CeY2Lu at its relaxed geometry, as listed in the Alexandria database.

size of the total moment: 0.175 μB/atom
ΔH_f (0 K): 0.07 eV per atom
excess energy over the best structure of this formula in the dataset: 0 meV per atom

Cell and atoms, written as CIF:
```
data_CeY2Lu
_chemical_formula_sum 'Ce1 Y2 Lu1'
_cell_length_a 3.517
_cell_length_b 3.517
_cell_length_c 10.046
_cell_angle_alpha 90.00
_cell_angle_beta 90.00
_cell_angle_gamma 90.00
_space_group_name_H-M_alt 'P 1'
_space_group_IT_number 1
_space_group_name_Hall 'P 1'
loop_
_atom_site_label
_atom_site_type_symbol
_atom_site_fract_x
_atom_site_fract_y
_atom_site_fract_z
Ce1 Ce 0.000 0.000 0.000
Y1 Y 0.500 0.500 0.249
Y2 Y 0.500 0.500 0.751
Lu1 Lu 0.000 0.000 0.500
```

***

[9]
First-principles (PBE) data for crystalline Te2SeBr at its relaxed geometry, as listed in the Alexandria database.

size of the total moment: 0.000 μB/atom
excess energy over the best structure of this formula in the dataset: 72 meV per atom
formation energy without anion corrections: 0.0109 eV/atom

Cell and atoms, written as CIF:
```
data_Te2SeBr
_chemical_formula_sum 'Te8 Se4 Br4'
_cell_length_a 9.307
_cell_length_b 5.508
_cell_length_c 11.197
_cell_angle_alpha 90.00
_cell_angle_beta 97.69
_cell_angle_gamma 90.00
_space_group_name_H-M_alt 'P 1'
_space_group_IT_number 1
_space_group_name_Hall 'P 1'
loop_
_atom_site_label
_atom_site_type_symbol
_atom_site_fract_x
_atom_site_fract_y
_atom_site_fract_z
Te1 Te 0.127 0.244 0.190
Te2 Te 0.127 0.756 0.690
Te3 Te 0.354 0.249 0.943
Te4 Te 0.354 0.751 0.443
Te5 Te 0.646 0.249 0.557
Te6 Te 0.646 0.751 0.057
Te7 Te 0.873 0.244 0.310
Te8 Te 0.873 0.756 0.810
Se1 Se 0.405 0.249 0.402
Se2 Se 0.405 0.751 0.902
Se3 Se 0.595 0.249 0.098
Se4 Se 0.595 0.751 0.598
Br1 Br 0.118 0.257 0.638
Br2 Br 0.118 0.743 0.138
Br3 Br 0.882 0.257 0.862
Br4 Br 0.882 0.743 0.362
```

***

[10]
First-principles (PBE) data for crystalline Dy2Ga3CoNi12 at its relaxed geometry, as listed in the Alexandria database.

size of the total moment: 0.184 μB/atom
ΔH_f (0 K): 0.02 eV per atom

Cell and atoms, written as CIF:
```
data_Dy2Ga3CoNi12
_chemical_formula_sum 'Dy2 Ga3 Co1 Ni12'
_cell_length_a 9.076
_cell_length_b 9.076
_cell_length_c 9.076
_cell_angle_alpha 38.90
_cell_angle_beta 38.90
_cell_angle_gamma 38.90
_space_group_name_H-M_alt 'P 1'
_space_group_IT_number 1
_space_group_name_Hall 'P 1'
loop_
_atom_site_label
_atom_site_type_symbol
_atom_site_fract_x
_atom_site_fract_y
_atom_site_fract_z
Dy1 Dy 0.152 0.152 0.152
Dy2 Dy 0.848 0.848 0.848
Ga1 Ga 0.000 0.500 0.500
Ga2 Ga 0.500 0.000 0.500
Ga3 Ga 0.500 0.500 0.000
Co1 Co 0.500 0.500 0.500
Ni1 Ni 0.081 0.081 0.688
Ni2 Ni 0.081 0.688 0.081
Ni3 Ni 0.145 0.575 0.575
Ni4 Ni 0.312 0.919 0.919
Ni5 Ni 0.425 0.425 0.855
Ni6 Ni 0.425 0.855 0.425
Ni7 Ni 0.575 0.145 0.575
Ni8 Ni 0.575 0.575 0.145
Ni9 Ni 0.688 0.081 0.081
Ni10 Ni 0.855 0.425 0.425
Ni11 Ni 0.919 0.312 0.919
Ni12 Ni 0.919 0.919 0.312
```

***

[11]
First-principles (PBE) data for crystalline ZrCd2Re2 at its relaxed geometry, as listed in the Alexandria database.

size of the total moment: 0.000 μB/atom
ΔH_f (0 K): 0.59 eV per atom
excess energy over the best structure of this formula in the dataset: 0 meV per atom

Cell and atoms, written as CIF:
```
data_ZrCd2Re2
_chemical_formula_sum 'Zr2 Cd4 Re4'
_cell_length_a 8.196
_cell_length_b 8.196
_cell_length_c 2.850
_cell_angle_alpha 90.00
_cell_angle_beta 90.00
_cell_angle_gamma 90.00
_space_group_name_H-M_alt 'P 1'
_space_group_IT_number 1
_space_group_name_Hall 'P 1'
loop_
_atom_site_label
_atom_site_type_symbol
_atom_site_fract_x
_atom_site_fract_y
_atom_site_fract_z
Zr1 Zr 0.000 0.000 0.000
Zr2 Zr 0.500 0.500 0.000
Cd1 Cd 0.186 0.314 0.000
Cd2 Cd 0.314 0.814 0.000
Cd3 Cd 0.686 0.186 0.000
Cd4 Cd 0.814 0.686 0.000
Re1 Re 0.105 0.605 0.500
Re2 Re 0.395 0.105 0.500
Re3 Re 0.605 0.895 0.500
Re4 Re 0.895 0.395 0.500
```

***

[12]
First-principles (PBE) data for crystalline TaCdFe2 at its relaxed geometry, as listed in the Alexandria database.

size of the total moment: 0.717 μB/atom
ΔH_f (0 K): 0.75 eV per atom

Cell and atoms, written as CIF:
```
data_TaCdFe2
_chemical_formula_sum 'Ta4 Cd4 Fe8'
_cell_length_a 6.925
_cell_length_b 6.925
_cell_length_c 5.534
_cell_angle_alpha 90.00
_cell_angle_beta 90.00
_cell_angle_gamma 90.00
_space_group_name_H-M_alt 'P 1'
_space_group_IT_number 1
_space_group_name_Hall 'P 1'
loop_
_atom_site_label
_atom_site_type_symbol
_atom_site_fract_x
_atom_site_fract_y
_atom_site_fract_z
Ta1 Ta 0.000 0.000 0.000
Ta2 Ta 0.000 0.500 0.250
Ta3 Ta 0.500 0.000 0.750
Ta4 Ta 0.500 0.500 0.500
Cd1 Cd 0.000 0.000 0.500
Cd2 Cd 0.000 0.500 0.750
Cd3 Cd 0.500 0.000 0.250
Cd4 Cd 0.500 0.500 0.000
Fe1 Fe 0.226 0.250 0.125
Fe2 Fe 0.250 0.726 0.375
Fe3 Fe 0.250 0.774 0.875
Fe4 Fe 0.274 0.250 0.625
Fe5 Fe 0.726 0.750 0.625
Fe6 Fe 0.750 0.226 0.875
Fe7 Fe 0.750 0.274 0.375
Fe8 Fe 0.774 0.750 0.125
```

***

> What is the size of the total moment in the fifth record?

0.000 μB/atom